# 1
DFT (GGA-PBE) results for a geometry-optimized K2ScTa structure.

DOS(E_F), states/eV per cell: 4.35
Energy of formation, meV/atom: 1240
Final energy, eV per atom: -3.8550
Polymorph energy (0 for the lowest one), kJ per mole of atoms: 56.48

Unit cell a=2.989 b=6.106 c=6.616 alpha=90.00 beta=90.00 gamma=90.00
Each line ends with the local moment (μB).
Fractional coordinates of all 4 atoms:
K  0.000  0.993  0.000  0.01
K  0.000  0.507  0.000  0.01
Sc  0.500  0.250  0.500  -0.14
Ta  0.500  0.750  0.500  0.60



# 2
DFT (GGA-PBE) results for a geometry-optimized GdMgNiHg structure.

DOS(E_F), states/eV per cell: 4.08
Energy of formation, meV/atom: -259
Final energy, eV per atom: -5.6982

Unit cell a=4.894 b=4.894 c=4.894 alpha=60.00 beta=60.00 gamma=60.00
Each line ends with the local moment (μB).
Fractional coordinates of all 4 atoms:
Ni  0.000  0.000  0.000  0.05
Mg  0.250  0.250  0.250  0.00
Gd  0.750  0.750  0.750  7.03
Hg  0.500  0.500  0.500  0.02



# 3
DFT (GGA-PBE) results for a geometry-optimized Ce3TcIr structure.

DOS(E_F), states/eV per cell: 19.45
Energy of formation, meV/atom: -303
Final energy, eV per atom: -7.7087
Polymorph energy (0 for the lowest one), kJ per mole of atoms: 0.81

Unit cell a=4.517 b=6.290 c=9.155 alpha=113.70 beta=90.00 gamma=111.04
Fractional coordinates of all 10 atoms:
Ce  0.097  0.194  0.380
Ce  0.903  0.806  0.620
Ce  0.471  0.943  0.161
Ce  0.529  0.057  0.839
Ce  0.244  0.488  0.792
Ce  0.756  0.512  0.208
Tc  0.862  0.723  0.930
Tc  0.138  0.277  0.070
Ir  0.633  0.265  0.597
Ir  0.367  0.735  0.403



# 4
DFT (GGA-PBE) results for a geometry-optimized La2AlTl structure.

DOS(E_F), states/eV per cell: 2.88
Energy of formation, meV/atom: -362
Final energy, eV per atom: -4.3532

Unit cell a=5.662 b=5.662 c=3.723 alpha=90.00 beta=90.00 gamma=98.19
Fractional coordinates of all 4 atoms:
Tl  0.500  0.000  0.500
Al  0.000  0.500  0.500
La  0.000  0.000  0.000
La  0.500  0.500  0.000



# 5
DFT (GGA-PBE) results for a geometry-optimized Zn2SiO5 structure.

DOS(E_F), states/eV per cell: 0.00
Final energy, eV per atom: -5.7967
ΔE_f (raw), eV/atom: -1.70

Unit cell a=7.326 b=7.326 c=7.326 alpha=138.70 beta=115.61 gamma=79.42
Fractional coordinates of all 16 atoms:
Zn  0.377  0.185  0.252
Zn  0.623  0.875  0.808
Zn  0.933  0.185  0.808
Zn  0.067  0.875  0.252
Si  0.138  0.656  0.518
Si  0.862  0.381  0.518
O  0.371  0.595  0.569
O  0.629  0.197  0.224
O  0.027  0.595  0.224
O  0.973  0.197  0.569
O  0.145  0.980  0.835
O  0.855  0.691  0.835
O  0.347  0.992  0.338
O  0.653  0.992  0.645
O  0.000  0.413  0.413
O  0.500  0.158  0.658



# 6
DFT (GGA-PBE) results for a geometry-optimized Ce2BiO structure.

DOS(E_F), states/eV per cell: 42.18
Final energy, eV per atom: -6.7552
ΔE_f (raw), eV/atom: -1.58
Polymorph energy (0 for the lowest one), kJ per mole of atoms: 5.16

Unit cell a=6.490 b=6.551 c=10.675 alpha=96.63 beta=90.00 gamma=90.00
Each line ends with the local moment (μB).
Fractional coordinates of all 16 atoms:
Ce  0.762  0.973  0.924  1.06
Ce  0.238  0.027  0.076  1.06
Ce  0.762  0.527  0.576  1.06
Ce  0.238  0.473  0.424  1.06
Ce  0.798  0.459  0.171  1.10
Ce  0.202  0.541  0.829  1.10
Ce  0.798  0.041  0.329  1.10
Ce  0.202  0.959  0.671  1.10
Bi  0.292  0.972  0.373  -0.06
Bi  0.708  0.028  0.627  -0.06
Bi  0.292  0.528  0.127  -0.06
Bi  0.708  0.472  0.873  -0.06
O  0.103  0.614  0.620  -0.03
O  0.897  0.386  0.380  -0.03
O  0.103  0.886  0.880  -0.03
O  0.897  0.114  0.120  -0.03



# 7
DFT (GGA-PBE) results for a geometry-optimized Tb2NpTlO8 structure.

Final energy, eV per atom: -7.9237
ΔE_f (raw), eV/atom: -2.57

Unit cell a=5.026 b=5.032 c=7.233 alpha=90.00 beta=90.00 gamma=93.14
Fractional coordinates of all 12 atoms:
Tb  0.500  0.500  0.749
Tb  0.500  0.500  0.251
Np  0.000  0.000  0.000
Tl  0.000  0.000  0.500
O  0.187  0.812  0.207
O  0.705  0.707  0.000
O  0.813  0.188  0.207
O  0.813  0.188  0.793
O  0.295  0.293  0.000
O  0.187  0.812  0.793
O  0.701  0.702  0.500
O  0.299  0.298  0.500



# 8
DFT (GGA-PBE) results for a geometry-optimized TaZnPb3 structure.

DOS(E_F), states/eV per cell: 2.09
Energy of formation, meV/atom: 565
Final energy, eV per atom: -4.2855
Polymorph energy (0 for the lowest one), kJ per mole of atoms: 0.00

Unit cell a=5.523 b=5.523 c=5.523 alpha=90.00 beta=90.00 gamma=90.00
Fractional coordinates of all 5 atoms:
Pb  0.000  0.500  0.000
Pb  0.000  0.000  0.500
Pb  0.500  0.000  0.000
Zn  0.500  0.500  0.500
Ta  0.000  0.000  0.000



- Which value of final energy does entry 6 give?
  -6.7552 eV per atom